Tl2CdP after structural relaxation. Source: the Alexandria database, functional PBE-GGA.

Summary:
- Crystal system: orthorhombic
- Space-group type: No. 35
- Calculated total energy: -2.60 eV/atom
- Energy of formation: 0.17 eV per atom
- Density of states at the Fermi level: 2.37 states/eV per cell

abc: 3.6564 3.6564 8.0041
angles: 90.00 90.00 90.08
Atoms (fractional coordinates):
Tl1 0.0000 0.0000 0.0000
Tl2 0.5000 0.5000 0.3427
Cd1 0.0000 0.0000 0.6122
P1 0.5000 0.5000 0.7361